Record 1
# SrRe (GGA-PBE, relaxed)
data_SrRe
_cell_length_a 3.778
_cell_length_b 4.257
_cell_length_c 5.298
_cell_angle_alpha 90.00
_cell_angle_beta 90.00
_cell_angle_gamma 90.00
_space_group_name_H-M_alt 'C m m m'
_space_group_IT_number 65
_space_group_name_Hall '-C 2 2'
loop_
_atom_site_label
_atom_site_type_symbol
_atom_site_fract_x
_atom_site_fract_y
_atom_site_fract_z
Sr1 Sr 0.000 0.000 0.000
Re1 Re 0.000 0.500 0.500
# excess energy over the best structure of this formula in the dataset = 0.9450 eV/atom
# formation enthalpy at 0 K = 1.283 eV per atom
# calculated total energy = -5.78 eV/atom

Record 2
# SrRe (GGA-PBE, relaxed)
data_SrRe
_cell_length_a 5.4810
_cell_length_b 5.4810
_cell_length_c 4.7441
_cell_angle_alpha 90.00
_cell_angle_beta 90.00
_cell_angle_gamma 120.00
_space_group_name_H-M_alt 'P 63/m m c'
_space_group_IT_number 194
_space_group_name_Hall '-P 6c 2c'
loop_
_atom_site_label
_atom_site_type_symbol
_atom_site_fract_x
_atom_site_fract_y
_atom_site_fract_z
Sr1 Sr 0.3333 0.6667 0.2500
Re1 Re 0.0000 0.0000 0.0000
# excess energy over the best structure of this formula in the dataset = 0.5910 eV/atom
# formation enthalpy at 0 K = 0.929 eV per atom
# calculated total energy = -6.14 eV/atom